(1)
LiTi2Fe | the Alexandria database | PBE-GGA | optimized geometry; size of the total moment = 0.000 μB per atom; density = 4.83 Mg/m³; VASP energy = -6.601 eV per atom
1.0
-1.828 -2.665 -2.769
-4.156 -0.863 0.304
-2.704 1.497 -2.926
Li Fe Ti
1 1 2
direct
0.000 0.000 0.000
0.500 0.500 0.500
0.250 0.250 0.250
0.750 0.750 0.750


(2)
KIrRh4 | the Alexandria database | PBE-GGA | optimized geometry; size of the total moment = 0.300 μB per atom; density = 10.55 Mg/m³; VASP energy = -5.816 eV per atom
1.0
0.726 -2.933 4.270
-0.793 2.050 4.747
-4.109 -1.526 2.854
K Ir Rh
1 1 4
direct
0.000 0.000 0.000
0.750 0.750 0.750
0.376 0.873 0.376
0.873 0.376 0.376
0.376 0.376 0.873
0.376 0.376 0.376


The calculation returns the following formation energy values, one per record and in order: -0.06, 0.74 eV per atom.